VASP calculation (PBE) on a relaxed structure of La3GeTe.

Values from the calculation:
Total magnetization in μB per cell: 0.0
Space-group type: P-1
Raw formation energy in eV per atom: -0.718
Relative energy among the computed polymorphs in meV per atom: 0.0

a = 4.429 Å, b = 9.370 Å, c = 10.766 Å
α = 112.61°, β = 90.15°, γ = 103.60°
Atoms (fractional coordinates):
La 0.029 0.056 0.189
La 0.172 0.340 0.539
La 0.345 0.691 0.949
La 0.655 0.309 0.051
La 0.828 0.660 0.461
La 0.971 0.944 0.811
Ge 0.351 0.703 0.665
Ge 0.649 0.297 0.335
Te 0.153 0.307 0.825
Te 0.847 0.693 0.175